Entry 1:
Ba14Na6P3: optimized geometry, GGA-PBE.

Unit cell a=12.9673 b=12.9673 c=8.1900 alpha=90.00 beta=90.00 gamma=120.00
Last column: nearest neighbours and their distance in Å.
Space group P3 (No. 143)
Symmetry-distinct sites (fractional):
Ba 0.0000 0.0000 0.0000 x1  1 P 3.07
Ba 0.1052 0.5525 0.6508 x3  1 P 3.20
Ba 0.2193 0.4382 0.1819 x3  1 P 3.21
Ba 0.2433 0.1217 0.4345 x3  1 P 3.15
Ba 0.4204 0.2106 0.9299 x3  1 P 3.13
Ba 0.6667 0.3333 0.4895 x1  1 P 3.12
Na 0.1310 0.2621 0.7348 x3  1 P 3.08
Na 0.5365 0.0741 0.2237 x3  1 P 3.06
P 0.0000 0.0000 0.6251 x1  4 Ba 3.07-3.15, 3 Na 3.08
P 0.3333 0.6667 0.4174 x1  6 Ba 3.20-3.21
P 0.6667 0.3333 0.1088 x1  3 Na 3.06, 4 Ba 3.12-3.13

## Properties
- Raw total energy: -0.090 hartree per atom
- Energy of formation: -0.2379 eV per atom
- D(E_F): 25.293 states/eV per cell

***

Entry 2:
Ba6Na2PPd: optimized geometry, GGA-PBE.

Unit cell a=9.0255 b=9.0255 c=12.7590 alpha=90.00 beta=90.00 gamma=90.00
Last column: nearest neighbours and their distance in Å.
Space group I4mm (No. 107)
Symmetry-distinct sites (fractional):
Ba 0.0000 0.0000 0.0000 x2  1 P 3.17, 1 Pd 3.21
Ba 0.0000 0.0000 0.4974 x2  1 P 3.17, 1 Pd 3.21
Ba 0.2488 0.2488 0.2489 x8  1 P 3.18, 1 Pd 3.21
Na 0.0000 0.5000 0.4992 x4  12 Ba 4.51-4.52
P 0.0000 0.0000 0.2487 x2  6 Ba 3.17-3.18
Pd 0.0000 0.0000 0.7486 x2  6 Ba 3.21

## Properties
- Raw total energy: -0.104 hartree per atom
- Energy of formation: -0.3388 eV per atom
- D(E_F): 20.030 states/eV per cell

***

Entry 3:
Ba2NaPPd: optimized geometry, GGA-PBE.

Unit cell a=6.3251 b=6.3251 c=4.5716 alpha=90.00 beta=90.00 gamma=90.00
Last column: nearest neighbours and their distance in Å.
Space group P4/mmm (No. 123)
Symmetry-distinct sites (fractional):
Ba 0.0000 0.5000 0.0000 x2  2 P 3.16
Na 0.0000 0.0000 0.5000 x1  8 Ba 3.90
P 0.5000 0.5000 0.0000 x1  2 Pd 2.29
Pd 0.5000 0.5000 0.5000 x1  2 P 2.29

## Properties
- Raw total energy: -0.133 hartree per atom
- Energy of formation: -0.4782 eV per atom
- D(E_F): 2.994 states/eV per cell

***

Question: Which value of energy of formation does entry 1 give?
Answer: -0.2379 eV per atom

***

Question: Among the records above, which one has the highest energy of formation?
Answer: Ba14Na6P3

***

Question: Which formula does entry 1 have?
Answer: Ba14Na6P3